A plane-wave DFT calculation with PBE-GGA was carried out for crystalline YCuRe2 at its relaxed geometry.

The calculation puts the density of states at the Fermi level at 3.15 states/eV/f.u. For the calculated formation energy, the calculation gives 60.3 kJ per mole of atoms. Its final energy is -8.24 eV per atom.

The structure belongs to space group Cmmm (No. 65); the cell edges are 5.5155, 9.3190 and 2.6380 Å and the angles 90.00°, 90.00° and 90.00°. The distinct sites, in fractional coordinates, are Y at (0.0000, 0.0000, 0.0000), Cu at (0.0000, 0.5000, 0.0000) and Re at (0.2500, 0.2500, 0.5000).


A plane-wave DFT calculation with PBE-GGA was carried out for crystalline YHoAu2 at its relaxed geometry.

The calculation puts the density of states at the Fermi level at 2.54 states/eV/f.u. For the calculated formation energy, the calculation gives -82.9 kJ per mole of atoms. Its final energy is -5.26 eV per atom.

The structure belongs to space group Fm-3m (No. 225); the cell edges are 7.1959, 7.1959 and 7.1959 Å and the angles 90.00°, 90.00° and 90.00°. The distinct sites, in fractional coordinates, are Y at (0.0000, 0.0000, 0.0000), Ho at (0.0000, 0.0000, 0.5000) and Au at (0.2500, 0.2500, 0.2500).


A plane-wave DFT calculation with PBE-GGA was carried out for crystalline Th8Hg4C3N at its relaxed geometry.

The calculation puts the density of states at the Fermi level at 13.72 states/eV/f.u. Its uncorrected formation energy is -0.4340 eV/atom. Its final energy is -6.47 eV per atom.

The structure belongs to space group C2/m (No. 12); the cell edges are 12.8893, 7.4608 and 9.1845 Å and the angles 90.00°, 117.80° and 90.00°. The distinct sites, in fractional coordinates, are Th at (0.0249, 0.2495, 0.3248), Th at (0.2247, 0.0000, 0.6752), Th at (0.2255, 0.5000, 0.6769), Hg at (0.0000, 0.0000, 0.0000), Hg at (0.0000, 0.5000, 0.0000), Hg at (0.2500, 0.2500, 0.0000), C at (0.0000, 0.5000, 0.5000), C at (0.2500, 0.2500, 0.5000) and N at (0.0000, 0.0000, 0.5000).


A plane-wave DFT calculation with PBE-GGA was carried out for crystalline Ta2GaSe4 at its relaxed geometry.

The calculation puts the density of states at the Fermi level at 4.56 states/eV/f.u. Its uncorrected formation energy is -0.4128 eV/atom. Its final energy is -6.22 eV per atom.

The structure belongs to space group I4_1/amd (No. 141, origin choice 2); the cell edges are 7.7197, 7.7197 and 10.8898 Å and the angles 90.00°, 90.00° and 90.00°. The distinct sites, in fractional coordinates, are Ta at (0.0000, 0.0000, 0.0000), Ga at (0.0000, 0.2500, 0.3750) and Se at (0.0000, 0.0164, 0.7579).